Entry 1:
# Nd2Si3Pt12Au, optimized geometry, DFT GGA-PBE
data_Nd2Si3Pt12Au
_chemical_formula_sum 'Nd6 Si9 Pt36 Au3'
_cell_length_a 8.3045
_cell_length_b 8.3045
_cell_length_c 18.1062
_cell_angle_alpha 90.00
_cell_angle_beta 90.00
_cell_angle_gamma 120.00
_space_group_name_H-M_alt 'R -3 m'
_space_group_IT_number 166
_space_group_name_Hall '-R 3 2"'
loop_
_atom_site_label
_atom_site_fract_x
_atom_site_fract_y
_atom_site_fract_z
Nd1 0.0000 0.0000 0.1092
Si1 0.0000 0.5000 0.0000
Pt1 0.0148 0.5074 0.8721
Pt2 0.0302 0.5151 0.3680
Au1 0.0000 0.0000 0.5000
# DOS at the Fermi energy: 21.686 states/eV per cell
# raw formation energy: -7.4 eV per formula unit
# size of the total moment: 0.000 μB per atom

Entry 2:
# Ca2SbOsW, optimized geometry, DFT GGA-PBE
data_Ca2SbOsW
_chemical_formula_sum 'Ca2 Sb1 Os1 W1'
_cell_length_a 5.705
_cell_length_b 5.705
_cell_length_c 4.848
_cell_angle_alpha 90.00
_cell_angle_beta 90.00
_cell_angle_gamma 90.00
_space_group_name_H-M_alt 'P 4/m m m'
_space_group_IT_number 123
_space_group_name_Hall '-P 4 2'
loop_
_atom_site_label
_atom_site_fract_x
_atom_site_fract_y
_atom_site_fract_z
Ca1 0.000 0.500 0.000
Sb1 0.000 0.000 0.000
Os1 0.000 0.000 0.500
W1 0.500 0.500 0.500
# DOS at the Fermi energy: 4.543 states/eV per cell
# raw formation energy: 7.8 eV per formula unit
# size of the total moment: 0.824 μB per atom

Uncorrected energy readings, ordered: -6.056; -4.902 eV/atom